[1]
Compound: CsAs2Br6
Source: Alexandria via LeMat-Bulk
Functional: PBE
Structure: relaxed

Total magnetic moment (μB per atom): 0.000
Uncorrected formation energy (eV/f.u.): -5.82
DFT total energy (eV per atom): -2.889

```
data_CsAs2Br6
_symmetry_space_group_name_H-M 'C 1 2/c 1'
_symmetry_Int_Tables_number 15
_cell_length_a 12.172
_cell_length_b 15.675
_cell_length_c 10.550
_cell_angle_alpha 90.00
_cell_angle_beta 122.31
_cell_angle_gamma 90.00
loop_
_symmetry_equiv_pos_as_xyz
'x,y,z'
'-x,-y,-z'
'-x,y,-z+1/2'
'x,-y,z+1/2'
'x+1/2,y+1/2,z'
'-x+1/2,-y+1/2,-z'
'-x+1/2,y+1/2,-z+1/2'
'x+1/2,-y+1/2,z+1/2'
loop_
_atom_site_label
_atom_site_fract_x
_atom_site_fract_y
_atom_site_fract_z
Cs1 0.000 0.105 0.250
As1 0.141 0.432 0.196
Br1 0.086 0.291 0.090
Br2 0.120 0.089 0.658
Br3 0.139 0.479 0.464
```

[2]
Compound: CsAs4Br12
Source: Alexandria via LeMat-Bulk
Functional: PBE
Structure: relaxed

Total magnetic moment (μB per atom): 0.000
Uncorrected formation energy (eV/f.u.): -7.73
DFT total energy (eV per atom): -2.780

```
data_CsAs4Br12
_symmetry_space_group_name_H-M 'I m -3'
_symmetry_Int_Tables_number 204
_symmetry_space_group_name_Hall '-I 2 2 3'
_cell_length_a 10.453
_cell_length_b 10.453
_cell_length_c 10.453
_cell_angle_alpha 90.00
_cell_angle_beta 90.00
_cell_angle_gamma 90.00
loop_
_atom_site_label
_atom_site_fract_x
_atom_site_fract_y
_atom_site_fract_z
Cs1 0.000 0.000 0.000
As1 0.250 0.250 0.250
Br1 0.000 0.203 0.294
```

[3]
Compound: Cs6As2Br
Source: Alexandria via LeMat-Bulk
Functional: PBE
Structure: relaxed

Total magnetic moment (μB per atom): 0.125
Uncorrected formation energy (eV/f.u.): -5.38
DFT total energy (eV per atom): -2.386

```
data_Cs6As2Br
_symmetry_space_group_name_H-M 'I m m m'
_symmetry_Int_Tables_number 71
_symmetry_space_group_name_Hall '-I 2 2'
_cell_length_a 6.186
_cell_length_b 8.680
_cell_length_c 18.395
_cell_angle_alpha 90.00
_cell_angle_beta 90.00
_cell_angle_gamma 90.00
loop_
_atom_site_label
_atom_site_fract_x
_atom_site_fract_y
_atom_site_fract_z
Cs1 0.000 0.239 0.000
Cs2 0.000 0.258 0.327
As1 0.000 0.000 0.163
Br1 0.000 0.000 0.500
```

[4]
Compound: CsAs2Br7
Source: Alexandria via LeMat-Bulk
Functional: PBE
Structure: relaxed

Total magnetic moment (μB per atom): 0.000
Uncorrected formation energy (eV/f.u.): -5.48
DFT total energy (eV per atom): -2.735

```
data_CsAs2Br7
_symmetry_space_group_name_H-M 'C m m m'
_symmetry_Int_Tables_number 65
_symmetry_space_group_name_Hall '-C 2 2'
_cell_length_a 8.813
_cell_length_b 19.560
_cell_length_c 4.469
_cell_angle_alpha 90.00
_cell_angle_beta 90.00
_cell_angle_gamma 90.00
loop_
_atom_site_label
_atom_site_fract_x
_atom_site_fract_y
_atom_site_fract_z
Cs1 0.000 0.000 0.000
As1 0.000 0.364 0.500
Br1 0.000 0.290 0.000
Br2 0.000 0.500 0.500
Br3 0.207 0.131 0.500
```

[5]
Compound: Cs6As3Br14
Source: Alexandria via LeMat-Bulk
Functional: PBE
Structure: relaxed

Total magnetic moment (μB per atom): 0.028
Uncorrected formation energy (eV/f.u.): -25.23
DFT total energy (eV per atom): -2.945

```
data_Cs6As3Br14
_symmetry_space_group_name_H-M 'P 3'
_symmetry_Int_Tables_number 143
_cell_length_a 13.3723
_cell_length_b 13.3723
_cell_length_c 6.3162
_cell_angle_alpha 90.00
_cell_angle_beta 90.00
_cell_angle_gamma 120.00
loop_
_symmetry_equiv_pos_as_xyz
'x,y,z'
'-y,x-y,z'
'-x+y,-x,z'
loop_
_atom_site_label
_atom_site_fract_x
_atom_site_fract_y
_atom_site_fract_z
Cs1 0.0281 0.5620 0.0000
Cs2 0.3011 0.1057 0.4811
As1 0.0000 0.0000 0.8824
As2 0.3333 0.6667 0.4029
As3 0.6667 0.3333 0.7408
Br1 0.0000 0.0000 0.3407
Br2 0.0825 0.8625 0.8584
Br3 0.1940 0.4488 0.3585
Br4 0.3333 0.6667 0.8307
Br5 0.4728 0.2101 0.9722
Br6 0.5439 0.4053 0.5097
```

[6]
Compound: Cs3As2Br8
Source: Alexandria via LeMat-Bulk
Functional: PBE
Structure: relaxed

Relative energy among the computed polymorphs (meV per atom): 0
Total magnetic moment (μB per atom): 0.081
Uncorrected formation energy (eV/f.u.): -12.58
DFT total energy (eV per atom): -2.909

```
data_Cs3As2Br8
_symmetry_space_group_name_H-M 'R -3 m'
_symmetry_Int_Tables_number 166
_symmetry_space_group_name_Hall '-R 3 2"'
_cell_length_a 8.2244
_cell_length_b 8.2244
_cell_length_c 28.0761
_cell_angle_alpha 90.00
_cell_angle_beta 90.00
_cell_angle_gamma 120.00
loop_
_atom_site_label
_atom_site_fract_x
_atom_site_fract_y
_atom_site_fract_z
Cs1 0.0000 0.0000 0.0000
Cs2 0.0000 0.0000 0.2222
As1 0.0000 0.0000 0.4456
Br1 0.0000 0.0000 0.3492
Br2 0.0291 0.5145 0.7781
```

[7]
Compound: Cs5As2Br2
Source: Alexandria via LeMat-Bulk
Functional: PBE
Structure: relaxed

Total magnetic moment (μB per atom): 0.117
Uncorrected formation energy (eV/f.u.): -9.02
DFT total energy (eV per atom): -2.881

```
data_Cs5As2Br2
_symmetry_space_group_name_H-M 'C m c e'
_symmetry_Int_Tables_number 64
_symmetry_space_group_name_Hall '-C 2ac 2'
_cell_length_a 18.909
_cell_length_b 9.353
_cell_length_c 9.380
_cell_angle_alpha 90.00
_cell_angle_beta 90.00
_cell_angle_gamma 90.00
loop_
_atom_site_label
_atom_site_fract_x
_atom_site_fract_y
_atom_site_fract_z
Cs1 0.000 0.000 0.000
Cs2 0.138 0.175 0.326
As1 0.000 0.092 0.592
Br1 0.203 0.000 0.000
```

[8]
Compound: CsAs2Br
Source: Alexandria via LeMat-Bulk
Functional: PBE
Structure: relaxed

Total magnetic moment (μB per atom): 0.000
Uncorrected formation energy (eV/f.u.): 2.62
DFT total energy (eV per atom): -2.301

```
data_CsAs2Br
_symmetry_space_group_name_H-M 'F m -3 m'
_symmetry_Int_Tables_number 225
_symmetry_space_group_name_Hall '-F 4 2 3'
_cell_length_a 7.842
_cell_length_b 7.842
_cell_length_c 7.842
_cell_angle_alpha 90.00
_cell_angle_beta 90.00
_cell_angle_gamma 90.00
loop_
_atom_site_label
_atom_site_fract_x
_atom_site_fract_y
_atom_site_fract_z
Cs1 0.000 0.000 0.000
As1 0.250 0.250 0.250
Br1 0.000 0.000 0.500
```

[9]
Compound: CsAsBr3
Source: Alexandria via LeMat-Bulk
Functional: PBE
Structure: relaxed

Relative energy among the computed polymorphs (meV per atom): 0
Total magnetic moment (μB per atom): 0.000
Uncorrected formation energy (eV/f.u.): -4.56
DFT total energy (eV per atom): -3.017

```
data_CsAsBr3
_symmetry_space_group_name_H-M 'P 1 21/c 1'
_symmetry_Int_Tables_number 14
_cell_length_a 9.318
_cell_length_b 9.803
_cell_length_c 12.518
_cell_angle_alpha 90.00
_cell_angle_beta 125.91
_cell_angle_gamma 90.00
loop_
_symmetry_equiv_pos_as_xyz
'x,y,z'
'-x,-y,-z'
'-x,y+1/2,-z+1/2'
'x,-y+1/2,z+1/2'
loop_
_atom_site_label
_atom_site_fract_x
_atom_site_fract_y
_atom_site_fract_z
Cs1 0.144 0.107 0.259
As1 0.477 0.588 0.411
Br1 0.171 0.138 0.980
Br2 0.208 0.023 0.708
Br3 0.362 0.739 0.988
```

[10]
Compound: CsAsBr3
Source: Alexandria via LeMat-Bulk
Functional: PBE
Structure: relaxed

Relative energy among the computed polymorphs (meV per atom): 1231
Total magnetic moment (μB per atom): 0.807
Uncorrected formation energy (eV/f.u.): 1.59
DFT total energy (eV per atom): -1.786

```
data_CsAsBr3
_symmetry_space_group_name_H-M 'P m -3 m'
_symmetry_Int_Tables_number 221
_symmetry_space_group_name_Hall '-P 4 2 3'
_cell_length_a 6.923
_cell_length_b 6.923
_cell_length_c 6.923
_cell_angle_alpha 90.00
_cell_angle_beta 90.00
_cell_angle_gamma 90.00
loop_
_atom_site_label
_atom_site_fract_x
_atom_site_fract_y
_atom_site_fract_z
Cs1 0.000 0.000 0.000
As1 0.500 0.500 0.500
Br1 0.000 0.000 0.500
```

[11]
Compound: CsAsBr3
Source: Alexandria via LeMat-Bulk
Functional: PBE
Structure: relaxed

Relative energy among the computed polymorphs (meV per atom): 51
Total magnetic moment (μB per atom): 0.000
Uncorrected formation energy (eV/f.u.): -4.31
DFT total energy (eV per atom): -2.966

```
data_CsAsBr3
_symmetry_space_group_name_H-M 'P m -3 m'
_symmetry_Int_Tables_number 221
_symmetry_space_group_name_Hall '-P 4 2 3'
_cell_length_a 5.509
_cell_length_b 5.509
_cell_length_c 5.509
_cell_angle_alpha 90.00
_cell_angle_beta 90.00
_cell_angle_gamma 90.00
loop_
_atom_site_label
_atom_site_fract_x
_atom_site_fract_y
_atom_site_fract_z
Cs1 0.000 0.000 0.000
As1 0.500 0.500 0.500
Br1 0.000 0.500 0.500
```

[12]
Compound: Cs5As2Br12
Source: Alexandria via LeMat-Bulk
Functional: PBE
Structure: relaxed

Total magnetic moment (μB per atom): 0.000
Uncorrected formation energy (eV/f.u.): -21.75
DFT total energy (eV per atom): -2.916

```
data_Cs5As2Br12
_symmetry_space_group_name_H-M 'P -1'
_symmetry_Int_Tables_number 2
_cell_length_a 7.855
_cell_length_b 7.861
_cell_length_c 15.865
_cell_angle_alpha 103.85
_cell_angle_beta 90.28
_cell_angle_gamma 119.90
loop_
_symmetry_equiv_pos_as_xyz
'x,y,z'
'-x,-y,-z'
loop_
_atom_site_label
_atom_site_fract_x
_atom_site_fract_y
_atom_site_fract_z
Cs1 0.000 0.000 0.000
Cs2 0.201 0.401 0.606
Cs3 0.403 0.811 0.210
As1 0.097 0.198 0.291
Br1 0.098 0.193 0.811
Br2 0.099 0.709 0.813
Br3 0.181 0.892 0.611
Br4 0.285 0.573 0.389
Br5 0.287 0.108 0.390
Br6 0.387 0.292 0.188
```